First-principles (PBE) data for a geometry-optimized SrTl4In3 structure, as listed in the Alexandria database.

Geometry as extended XYZ:
```
16
Lattice="10.998 0.000 0.000 0.000 7.872 0.000 0.000 0.000 5.501" Properties=species:S:1:pos:R:3 pbc="T T T"
Sr 0.000 0.000 0.000
Sr 5.499 0.000 0.000
Tl 0.000 2.109 2.750
Tl 0.000 5.763 2.750
Tl 2.750 2.108 0.062
Tl 2.750 5.764 0.062
Tl 5.499 2.109 2.750
Tl 5.499 5.763 2.750
Tl 8.249 2.108 5.439
Tl 8.249 5.764 5.439
In 0.000 3.936 0.000
In 2.750 0.000 2.791
In 2.750 3.936 2.820
In 5.499 3.936 0.000
In 8.249 0.000 2.710
In 8.249 3.936 2.681
```

Output
N(E_F) = 2.781 states/eV/f.u.
magnetic moment = 0.00 Bohr magnetons per cell
VASP energy = -0.1874 Ry/atom

First-principles (PBE) data for a geometry-optimized ScBiS2 structure, as listed in the Alexandria database.

Geometry as extended XYZ:
```
8
Lattice="3.727 0.000 0.000 -0.018 6.407 0.000 -0.009 -2.161 8.436" Properties=species:S:1:pos:R:3 pbc="T T T"
Sc 0.916 0.523 4.180
Sc 2.784 3.723 4.256
Bi 1.052 4.643 0.012
Bi 2.648 -0.397 8.424
S 0.927 2.633 5.658
S 0.924 4.759 2.810
S 2.776 -0.513 5.626
S 2.773 1.613 2.777
```

Output
N(E_F) = 0.612 states/eV/f.u.
ΔE_f (raw) = -1.234 eV per atom
magnetic moment = 0.00 Bohr magnetons per cell